Below is Cs2GaHgI6 after structural relaxation, with properties calculated at the PBEsol level.

a b c (Å): 11.663 11.663 11.663
angles (deg): 90.00 90.00 90.00
Space group Fm-3m (No. 225)
Inequivalent atoms, fractional coordinates:
Cs 0.250 0.250 0.250 x8
Ga 0.000 0.000 0.000 x4
Hg 0.000 0.000 0.500 x4
I 0.000 0.000 0.243 x24

Values from the calculation:
total magnetic moment: 0.0 μB per formula unit
calculated total energy: -98.63 eV/cell
formation energy (no corrections): -0.8264 eV per atom



Below is La2MgRu after structural relaxation, with properties calculated at the PBEsol level.

a b c (Å): 3.418 3.418 8.999
angles (deg): 90.00 90.00 90.00
Space group P4/mmm (No. 123)
Inequivalent atoms, fractional coordinates:
La 0.000 0.000 0.195 x2
Mg 0.500 0.500 0.500 x1
Ru 0.500 0.500 0.000 x1

Values from the calculation:
total magnetic moment: 0.0 μB per formula unit
calculated total energy: -23.00 eV/cell
formation energy from the elements: -0.105 eV per atom



Below is BaScHg after structural relaxation, with properties calculated at the PBEsol level.

a b c (Å): 3.7382 3.7382 7.7451
angles (deg): 90.00 90.00 120.00
Space group P3m1 (No. 156)
Inequivalent atoms, fractional coordinates:
Ba 0.0000 0.0000 0.0000 x1
Sc 0.6667 0.3333 0.4057 x1
Hg 0.3333 0.6667 0.6514 x1

Values from the calculation:
total magnetic moment: 0.0 μB per formula unit
calculated total energy: -9.38 eV/cell
formation energy from the elements: -0.019 eV per atom



Below is ZrSc2Ga after structural relaxation, with properties calculated at the PBEsol level.

a b c (Å): 3.1485 3.1485 31.8309
angles (deg): 90.00 90.00 120.00
Space group R-3m (No. 166, hexagonal axes)
Inequivalent atoms, fractional coordinates:
Zr 0.0000 0.0000 0.0000 x3
Sc 0.0000 0.0000 0.4119 x6
Ga 0.0000 0.0000 0.5000 x3

Values from the calculation:
total magnetic moment: 0.0 μB per formula unit
calculated total energy: -75.64 eV/cell
formation energy from the elements: 0.106 eV per atom



Below is LaSc2CrNi after structural relaxation, with properties calculated at the PBEsol level.

a b c (Å): 4.672 4.672 5.116
angles (deg): 90.00 90.00 90.00
Space group P4/mmm (No. 123)
Inequivalent atoms, fractional coordinates:
La 0.000 0.000 0.000 x1
Sc 0.000 0.500 0.500 x2
Cr 0.000 0.000 0.500 x1
Ni 0.500 0.500 0.000 x1

Values from the calculation:
total magnetic moment: 0.0 μB per formula unit
calculated total energy: -31.72 eV/cell
formation energy from the elements: 0.647 eV per atom



Below is Os2O3F7 after structural relaxation, with properties calculated at the PBEsol level.

a b c (Å): 5.615 10.095 12.351
angles (deg): 90.00 100.03 90.00
Space group P2_1/c (No. 14)
Inequivalent atoms, fractional coordinates:
Os 0.011 0.249 0.002 x4
Os 0.345 0.512 0.717 x4
O 0.403 0.075 0.336 x4
O 0.471 0.561 0.362 x4
O 0.478 0.661 0.750 x4
F 0.025 0.559 0.726 x4
F 0.090 0.668 0.133 x4
F 0.104 0.155 0.142 x4
F 0.190 0.595 0.552 x4
F 0.198 0.107 0.558 x4
F 0.255 0.682 0.943 x4
F 0.275 0.174 0.950 x4

Values from the calculation:
total magnetic moment: 3.0 μB per formula unit
calculated total energy: -283.14 eV/cell
formation energy (no corrections): -1.4261 eV per atom



Below is YBe2W after structural relaxation, with properties calculated at the PBEsol level.

a b c (Å): 6.072 6.810 2.781
angles (deg): 90.00 90.00 90.00
Space group Cmmm (No. 65)
Inequivalent atoms, fractional coordinates:
Y 0.000 0.000 0.000 x2
Be 0.250 0.250 0.500 x4
W 0.000 0.500 0.000 x2

Values from the calculation:
excess energy over the best structure of this formula in the dataset: 0.008 eV per atom
total magnetic moment: 0.0 μB per formula unit
calculated total energy: -54.15 eV/cell
formation energy from the elements: 0.389 eV per atom



Below is AgBiTe2Mo after structural relaxation, with properties calculated at the PBEsol level.

a b c (Å): 5.158 5.158 5.157
angles (deg): 90.00 90.00 90.00
Space group P4/mmm (No. 123)
Inequivalent atoms, fractional coordinates:
Ag 0.000 0.000 0.000 x1
Bi 0.500 0.500 0.000 x1
Te 0.000 0.500 0.500 x2
Mo 0.000 0.000 0.500 x1

Values from the calculation:
total magnetic moment: 0.9 μB per formula unit
calculated total energy: -22.96 eV/cell
formation energy (no corrections): 0.6916 eV per atom



Below is Zr2RuSe after structural relaxation, with properties calculated at the PBEsol level.

a b c (Å): 4.363 4.363 7.443
angles (deg): 90.00 90.00 90.00
Space group I4/mmm (No. 139)
Inequivalent atoms, fractional coordinates:
Zr 0.000 0.500 0.250 x4
Ru 0.000 0.000 0.000 x2
Se 0.000 0.000 0.500 x2

Values from the calculation:
total magnetic moment: 0.0 μB per formula unit
calculated total energy: -68.09 eV/cell
formation energy (no corrections): -0.4611 eV per atom



Below is Rb2TaRu after structural relaxation, with properties calculated at the PBEsol level.

a b c (Å): 7.708 7.708 7.708
angles (deg): 90.00 90.00 90.00
Space group Fm-3m (No. 225)
Inequivalent atoms, fractional coordinates:
Rb 0.250 0.250 0.250 x8
Ta 0.000 0.000 0.000 x4
Ru 0.000 0.000 0.500 x4

Values from the calculation:
total magnetic moment: 1.4 μB per formula unit
calculated total energy: -57.24 eV/cell
formation energy from the elements: 2.616 eV per atom



Below is Sr2ZrTe after structural relaxation, with properties calculated at the PBEsol level.

a b c (Å): 12.607 3.785 5.833
angles (deg): 90.00 111.16 90.00
Space group Cm (No. 8)
Inequivalent atoms, fractional coordinates:
Sr 0.000 0.000 0.000 x2
Sr 0.201 0.000 0.641 x2
Zr 0.420 0.000 0.427 x2
Te 0.245 0.500 0.169 x2

Values from the calculation:
total magnetic moment: 0.0 μB per formula unit
calculated total energy: -34.89 eV/cell
formation energy (no corrections): -0.2876 eV per atom



Below is TaCoW2 after structural relaxation, with properties calculated at the PBEsol level.

a b c (Å): 9.409 2.907 4.581
angles (deg): 90.00 107.37 90.00
Space group C2/m (No. 12)
Inequivalent atoms, fractional coordinates:
Ta 0.000 0.000 0.000 x2
Co 0.000 0.500 0.500 x2
W 0.231 0.000 0.726 x4

Values from the calculation:
excess energy over the best structure of this formula in the dataset: 0.145 eV per atom
total magnetic moment: 0.5 μB per formula unit
calculated total energy: -94.26 eV/cell
formation energy from the elements: 0.194 eV per atom



Below is Sc4Be after structural relaxation, with properties calculated at the PBEsol level.

a b c (Å): 6.060 6.060 6.060
angles (deg): 90.00 90.00 90.00
Space group Im-3m (No. 229)
Inequivalent atoms, fractional coordinates:
Sc 0.250 0.250 0.250 x8
Be 0.000 0.000 0.000 x2

Values from the calculation:
total magnetic moment: 0.6 μB per formula unit
calculated total energy: -56.05 eV/cell
formation energy from the elements: 0.479 eV per atom



Below is PuAl3 after structural relaxation, with properties calculated at the PBEsol level.

a b c (Å): 6.0671 6.0671 4.6558
angles (deg): 90.00 90.00 120.00
Space group P6_3/mmc (No. 194)
Inequivalent atoms, fractional coordinates:
Pu 0.3333 0.6667 0.2500 x2
Al 0.1563 0.3127 0.7500 x6

Values from the calculation:
total magnetic moment: 5.4 μB per formula unit
calculated total energy: -55.93 eV/cell
formation energy from the elements: -0.135 eV per atom



Below is LaCe3 after structural relaxation, with properties calculated at the PBEsol level.

a b c (Å): 4.674 4.674 4.674
angles (deg): 90.00 90.00 90.00
Space group Pm-3m (No. 221)
Inequivalent atoms, fractional coordinates:
La 0.000 0.000 0.000 x1
Ce 0.000 0.500 0.500 x3

Values from the calculation:
total magnetic moment: 0.0 μB per formula unit
calculated total energy: -24.84 eV/cell
formation energy from the elements: 0.073 eV per atom



Below is Y2CoRu after structural relaxation, with properties calculated at the PBEsol level.

a b c (Å): 3.257 4.422 10.610
angles (deg): 90.00 90.00 90.00
Space group Imm2 (No. 44)
Inequivalent atoms, fractional coordinates:
Y 0.000 0.000 0.000 x2
Y 0.000 0.500 0.219 x2
Co 0.000 0.500 0.768 x2
Ru 0.000 0.000 0.441 x2

Values from the calculation:
total magnetic moment: 0.9 μB per formula unit
calculated total energy: -63.41 eV/cell
formation energy from the elements: -0.038 eV per atom



Below is Sr2LiZn after structural relaxation, with properties calculated at the PBEsol level.

a b c (Å): 5.560 5.560 4.012
angles (deg): 90.00 90.00 90.00
Space group P4/mmm (No. 123)
Inequivalent atoms, fractional coordinates:
Sr 0.000 0.500 0.000 x2
Li 0.000 0.000 0.500 x1
Zn 0.500 0.500 0.500 x1

Values from the calculation:
total magnetic moment: 0.0 μB per formula unit
calculated total energy: -7.41 eV/cell
formation energy from the elements: -0.046 eV per atom



Below is NiOsC3 after structural relaxation, with properties calculated at the PBEsol level.

a b c (Å): 3.637 3.637 3.637
angles (deg): 90.00 90.00 90.00
Space group Pm-3m (No. 221)
Inequivalent atoms, fractional coordinates:
Ni 0.000 0.000 0.000 x1
Os 0.500 0.500 0.500 x1
C 0.000 0.000 0.500 x3

Values from the calculation:
total magnetic moment: 0.0 μB per formula unit
calculated total energy: -34.59 eV/cell
formation energy from the elements: 2.543 eV per atom



Below is Be2SbRh after structural relaxation, with properties calculated at the PBEsol level.

a b c (Å): 2.874 3.651 5.702
angles (deg): 90.00 104.37 90.00
Space group Pm (No. 6)
Inequivalent atoms, fractional coordinates:
Be 0.000 0.000 0.000 x1
Be 0.111 0.500 0.234 x1
Sb 0.833 0.500 0.679 x1
Rh 0.652 0.000 0.311 x1

Values from the calculation:
total magnetic moment: 0.0 μB per formula unit
calculated total energy: -20.95 eV/cell
formation energy (no corrections): -0.0643 eV per atom



Below is MnTe5 after structural relaxation, with properties calculated at the PBEsol level.

a b c (Å): 4.021 14.268 6.065
angles (deg): 90.00 90.00 90.00
Space group Cmmm (No. 65)
Inequivalent atoms, fractional coordinates:
Mn 0.000 0.000 0.000 x2
Te 0.000 0.000 0.500 x2
Te 0.000 0.343 0.500 x4
Te 0.000 0.368 0.000 x4

Values from the calculation:
total magnetic moment: 3.9 μB per formula unit
calculated total energy: -54.50 eV/cell
formation energy (no corrections): 0.0232 eV per atom



Below is La2Hg after structural relaxation, with properties calculated at the PBEsol level.

a b c (Å): 8.3810 8.3810 4.5546
angles (deg): 90.00 90.00 120.00
Space group P-62m (No. 189)
Inequivalent atoms, fractional coordinates:
La 0.0000 0.2727 0.0000 x3
La 0.0000 0.6006 0.5000 x3
Hg 0.0000 0.0000 0.5000 x1
Hg 0.3333 0.6667 0.0000 x2

Values from the calculation:
total magnetic moment: 0.0 μB per formula unit
calculated total energy: -36.88 eV/cell
formation energy from the elements: -0.345 eV per atom



Below is AlTc2P after structural relaxation, with properties calculated at the PBEsol level.

a b c (Å): 2.995 4.569 8.178
angles (deg): 90.00 90.00 90.00
Space group Cmm2 (No. 35)
Inequivalent atoms, fractional coordinates:
Al 0.000 0.000 0.000 x2
Tc 0.000 0.000 0.485 x2
Tc 0.000 0.500 0.746 x2
P 0.000 0.500 0.259 x2

Values from the calculation:
excess energy over the best structure of this formula in the dataset: 0.425 eV per atom
total magnetic moment: 0.0 μB per formula unit
calculated total energy: -63.93 eV/cell
formation energy from the elements: 0.113 eV per atom



Below is VCu2HO5 after structural relaxation, with properties calculated at the PBEsol level.

a b c (Å): 14.843 5.957 8.475
angles (deg): 90.00 90.00 90.00
Space group Pnma (No. 62)
Inequivalent atoms, fractional coordinates:
V 0.079 0.250 0.188 x4
V 0.154 0.750 0.535 x4
Cu 0.074 0.250 0.583 x4
Cu 0.138 0.505 0.872 x8
Cu 0.217 0.750 0.156 x4
H 0.000 0.250 0.858 x4
H 0.218 0.250 0.390 x4
O 0.033 0.750 0.814 x4
O 0.050 0.750 0.461 x4
O 0.063 0.250 0.814 x4
O 0.118 0.006 0.096 x8
O 0.120 0.250 0.378 x4
O 0.174 0.503 0.650 x8
O 0.215 0.750 0.929 x4
O 0.226 0.750 0.377 x4

Values from the calculation:
total magnetic moment: 0.0 μB per formula unit
calculated total energy: -475.84 eV/cell